Record 1
{"formula": "Na3TbHo2O6", "functional": "PBE", "state": "optimized geometry", "raw_formation_energy_kj_per_mol_atoms": -270.8, "spacegroup": "No. 12", "cell": [[2.964, -5.133, 0.000], [2.964, 5.133, 0.000], [-1.976, 0.000, 5.582]], "species": ["Na", "Na", "Na", "Tb", "Ho", "Ho", "O", "O", "O", "O", "O", "O"], "frac_coords": [[0.000, 0.000, 0.000], [0.332, 0.668, 0.000], [0.668, 0.332, 0.000], [0.500, 0.500, 0.500], [0.167, 0.833, 0.500], [0.833, 0.167, 0.500], [0.094, 0.430, 0.290], [0.234, 0.234, 0.711], [0.430, 0.094, 0.290], [0.570, 0.906, 0.710], [0.766, 0.766, 0.289], [0.906, 0.570, 0.710]]}

***

Record 2
{"formula": "Na2HoTcO6", "functional": "PBE", "state": "optimized geometry", "raw_formation_energy_kj_per_mol_atoms": -192.7, "spacegroup": "No. 14", "cell": [[5.608, 0.000, 0.000], [0.000, 5.744, 0.000], [-5.564, 0.000, 8.022]], "species": ["Na", "Na", "Na", "Na", "Ho", "Ho", "Tc", "Tc", "O", "O", "O", "O", "O", "O", "O", "O", "O", "O", "O", "O"], "frac_coords": [[0.242, 0.038, 0.251], [0.242, 0.462, 0.751], [0.758, 0.538, 0.249], [0.758, 0.962, 0.749], [0.500, 0.000, 0.000], [0.500, 0.500, 0.500], [0.000, 0.000, 0.500], [0.000, 0.500, 0.000], [0.133, 0.228, 0.951], [0.133, 0.272, 0.451], [0.230, 0.687, 0.957], [0.230, 0.813, 0.457], [0.316, 0.026, 0.728], [0.316, 0.474, 0.228], [0.684, 0.526, 0.772], [0.684, 0.974, 0.272], [0.770, 0.187, 0.543], [0.770, 0.313, 0.043], [0.867, 0.728, 0.549], [0.867, 0.772, 0.049]]}

***

Record 3
{"formula": "Na3Ho3TcO8", "functional": "PBE", "state": "optimized geometry", "raw_formation_energy_kj_per_mol_atoms": -243.7, "spacegroup": "No. 166", "cell": [[3.339, 1.928, 5.559], [-3.339, 1.928, 5.559], [0.000, -3.855, 5.559]], "species": ["Na", "Na", "Na", "Ho", "Ho", "Ho", "Tc", "O", "O", "O", "O", "O", "O", "O", "O"], "frac_coords": [[0.000, 0.500, 0.500], [0.500, 0.000, 0.500], [0.500, 0.500, 0.000], [0.000, 0.000, 0.500], [0.000, 0.500, 0.000], [0.500, 0.000, 0.000], [0.500, 0.500, 0.500], [0.236, 0.236, 0.236], [0.259, 0.719, 0.719], [0.281, 0.281, 0.741], [0.281, 0.741, 0.281], [0.719, 0.259, 0.719], [0.719, 0.719, 0.259], [0.741, 0.281, 0.281], [0.764, 0.764, 0.764]]}

***

Record 4
{"formula": "Na3Ho2TcO6", "functional": "PBE", "state": "optimized geometry", "raw_formation_energy_kj_per_mol_atoms": -218.0, "spacegroup": "No. 12", "cell": [[2.876, -4.858, 0.000], [2.876, 4.858, 0.000], [-1.848, 0.000, 5.599]], "species": ["Na", "Na", "Na", "Ho", "Ho", "Tc", "O", "O", "O", "O", "O", "O"], "frac_coords": [[0.000, 0.000, 0.000], [0.340, 0.660, 0.000], [0.660, 0.340, 0.000], [0.173, 0.827, 0.500], [0.827, 0.173, 0.500], [0.500, 0.500, 0.500], [0.099, 0.420, 0.280], [0.258, 0.258, 0.702], [0.420, 0.099, 0.280], [0.580, 0.901, 0.720], [0.742, 0.742, 0.298], [0.901, 0.580, 0.720]]}

***

Please write out number 1 again, unchanged.
{"formula": "Na3TbHo2O6", "functional": "PBE", "state": "optimized geometry", "raw_formation_energy_kj_per_mol_atoms": -270.8, "spacegroup": "No. 12", "cell": [[2.964, -5.133, 0.000], [2.964, 5.133, 0.000], [-1.976, 0.000, 5.582]], "species": ["Na", "Na", "Na", "Tb", "Ho", "Ho", "O", "O", "O", "O", "O", "O"], "frac_coords": [[0.000, 0.000, 0.000], [0.332, 0.668, 0.000], [0.668, 0.332, 0.000], [0.500, 0.500, 0.500], [0.167, 0.833, 0.500], [0.833, 0.167, 0.500], [0.094, 0.430, 0.290], [0.234, 0.234, 0.711], [0.430, 0.094, 0.290], [0.570, 0.906, 0.710], [0.766, 0.766, 0.289], [0.906, 0.570, 0.710]]}